The following is a DFT calculation (PBE) of Hg2P after structural relaxation.

Cell: 6.524 6.524 6.279 Å, 91.31 91.31 35.08°
Positions (direct):
Hg 0.154 0.154 0.247
Hg 0.160 0.160 0.755
Hg 0.840 0.840 0.245
Hg 0.846 0.846 0.753
P 0.498 0.498 0.333
P 0.502 0.502 0.667

Computed properties:
E_form: 0.17 eV/atom
Calculated volume: 153.6 Å³ per cell
Relative energy among the computed polymorphs: 0.080 eV per atom
Total magnetic moment: 0.00 μB/f.u.
Theoretical density: 9.347 Mg/m³
Space-group type: C2/m (12)